1.
# La5PmDyEr2

A relaxed structure of La5PmDyEr2 (PBE, Alexandria).

Lattice parameters (Å, degrees): 5.5007 11.2165 10.6782 90.00 90.00 104.19
Closest atoms and distances in Å follow each position.
Sites, in units of the cell vectors:
1 Dy 0.6001 0.2001 0.0081  6 La 3.31-3.51, 2 Pm 3.70
2 Dy 0.3999 0.7999 0.5081  6 La 3.31-3.51, 2 Pm 3.70
3 La 0.2792 0.5584 0.3190  2 La 3.30, 1 Dy 3.31, 3 Pm 3.42-3.61, 3 Er 3.67-3.69
4 La 0.2798 0.5597 0.6986  2 La 3.30, 1 Dy 3.31, 3 Pm 3.42-3.61, 3 Er 3.66-3.69
5 La 0.6229 0.2459 0.5080  1 Pm 3.55, 6 La 3.77-3.94, 4 Er 3.85-3.86
6 La 0.7202 0.4403 0.1986  2 La 3.30, 1 Dy 3.31, 3 Pm 3.42-3.61, 3 Er 3.66-3.69
7 La 0.0001 0.0002 0.0079  2 Dy 3.51, 4 Er 3.60-3.65, 6 La 3.83-3.84
8 La 0.7208 0.4416 0.8190  2 La 3.30, 1 Dy 3.31, 3 Pm 3.42-3.61, 3 Er 3.67-3.69
9 La 0.5002 0.0004 0.7579  2 Dy 3.44-3.45, 4 Er 3.68-3.69, 6 La 3.77-3.83
10 La 0.3771 0.7541 0.0080  1 Pm 3.55, 6 La 3.77-3.94, 4 Er 3.85-3.86
11 La 0.4998 0.9996 0.2579  2 Dy 3.44-3.45, 4 Er 3.68-3.69, 6 La 3.77-3.83
12 La 0.9999 0.9998 0.5079  2 Dy 3.51, 4 Er 3.60-3.65, 6 La 3.83-3.84
13 Er 0.8870 0.7740 0.2602  1 Pm 3.44, 9 La 3.61-3.85, 2 Dy 3.83
14 Er 0.1130 0.2260 0.7602  1 Pm 3.44, 9 La 3.61-3.85, 2 Dy 3.83
15 Er 0.1125 0.2249 0.2557  1 Pm 3.44, 7 La 3.60-3.69, 2 Dy 3.82
16 Er 0.8875 0.7751 0.7557  1 Pm 3.44, 7 La 3.60-3.69, 2 Dy 3.82
17 Pm 0.2138 0.4276 0.0087  7 La 3.42-3.61, 2 Er 3.44, 2 Dy 3.70
18 Pm 0.7862 0.5724 0.5087  7 La 3.42-3.61, 2 Er 3.44, 2 Dy 3.70

Computed properties:
The formation energy comes out at 0.128 eV/atom. For the electronic total energy, the calculation gives -4.663 eV/atom. Its symmetry is Cmc2_1 (36).

2.
# NaYZnCl6

A relaxed structure of NaYZnCl6 (PBE, Alexandria).

Lattice parameters (Å, degrees): 6.6311 6.6311 12.5601 90.00 90.00 120.00
Closest atoms and distances in Å follow each position.
Sites, in units of the cell vectors:
1 Cl 0.3670 0.3491 0.3656  1 Zn 2.51, 1 Y 2.66
2 Cl 0.3670 0.0179 0.1344  1 Zn 2.51, 1 Y 2.66
3 Cl 0.0179 0.3670 0.6344  1 Zn 2.51, 1 Y 2.66
4 Cl 0.6330 0.9821 0.8656  1 Zn 2.51, 1 Y 2.66
5 Cl 0.0179 0.6509 0.8656  1 Zn 2.51, 1 Y 2.66
6 Cl 0.3491 0.3670 0.8656  1 Zn 2.51, 1 Y 2.66
7 Cl 0.6509 0.6330 0.1344  1 Zn 2.51, 1 Y 2.66
8 Cl 0.6509 0.0179 0.3656  1 Zn 2.51, 1 Y 2.66
9 Cl 0.3491 0.9821 0.6344  1 Zn 2.51, 1 Y 2.66
10 Cl 0.9821 0.3491 0.1344  1 Zn 2.51, 1 Y 2.66
11 Cl 0.6330 0.6509 0.6344  1 Zn 2.51, 1 Y 2.66
12 Cl 0.9821 0.6330 0.3656  1 Zn 2.51, 1 Y 2.66
13 Y 0.6667 0.3333 0.7500  6 Cl 2.66
14 Y 0.3333 0.6667 0.2500  6 Cl 2.66
15 Zn 0.3333 0.6667 0.7500  6 Cl 2.51
16 Zn 0.6667 0.3333 0.2500  6 Cl 2.51
17 Na 0.0000 0.0000 0.0000  6 Cl 2.91
18 Na 0.0000 0.0000 0.5000  6 Cl 2.91

Computed properties:
For the electronic total energy, the calculation gives -4.004 eV/atom. Its symmetry is P-31c (163). For the formation energy (no corrections), the calculation gives -1.766 eV/atom.

3.
# La3Er6Tm2

A relaxed structure of La3Er6Tm2 (PBE, Alexandria).

Lattice parameters (Å, degrees): 3.5759 3.5759 31.8401 86.78 86.78 60.00
Closest atoms and distances in Å follow each position.
Sites, in units of the cell vectors:
1 Er 0.0928 0.0928 0.7217  3 Tm 3.48, 6 Er 3.58, 3 La 3.62
2 Er 0.8185 0.8185 0.5446  3 Tm 3.50, 9 Er 3.50-3.58
3 Er 0.1815 0.1815 0.4554  3 Tm 3.50, 9 Er 3.50-3.58
4 Er 0.3641 0.3641 0.9077  6 Er 3.58, 6 La 3.59
5 Er 0.6359 0.6359 0.0923  6 Er 3.58, 6 La 3.59
6 Er 0.9072 0.9072 0.2783  3 Tm 3.48, 6 Er 3.58, 3 La 3.62
7 Tm 0.5444 0.5444 0.3667  6 Er 3.48-3.50, 6 Tm 3.58
8 Tm 0.4556 0.4556 0.6333  6 Er 3.48-3.50, 6 Tm 3.58
9 La 0.2717 0.2717 0.1849  6 La 3.58, 6 Er 3.59-3.62
10 La 0.7283 0.7283 0.8151  6 La 3.58, 6 Er 3.59-3.62
11 La 0.0000 0.0000 0.0000  6 La 3.58, 6 Er 3.59

Computed properties:
The formation energy comes out at 0.027 eV/atom. For the electronic total energy, the calculation gives -4.619 eV/atom. Its symmetry is R-3m (166).

4.
# RbB2PAu

A relaxed structure of RbB2PAu (PBE, Alexandria).

Lattice parameters (Å, degrees): 4.8550 5.6041 4.8550 90.00 90.00 90.00
Closest atoms and distances in Å follow each position.
Sites, in units of the cell vectors:
1 B 0.0000 0.0000 0.5000  2 Rb 2.43
2 B 0.5000 0.0000 0.0000  2 Rb 2.43
3 P 0.0000 0.5000 0.0000  2 Rb 2.80
4 Au 0.5000 0.5000 0.5000  4 P 3.43, 8 B 3.71
5 Rb 0.0000 0.0000 0.0000  4 B 2.43

Computed properties:
The formation energy comes out at 3.029 eV/atom. For the electronic total energy, the calculation gives -1.573 eV/atom. Its symmetry is P4/mmm (123).

5.
# PrErNi

A relaxed structure of PrErNi (PBE, Alexandria).

Lattice parameters (Å, degrees): 5.7605 5.7605 6.0920 93.90 121.52 112.04
Closest atoms and distances in Å follow each position.
Sites, in units of the cell vectors:
1 Er 0.7402 0.3734 0.1135  1 Ni 2.54
2 Er 0.2598 0.6266 0.8865  1 Ni 2.54
3 Ni 0.1970 0.9408 0.1378  1 Ni 2.40, 1 Er 2.54
4 Ni 0.8030 0.0592 0.8622  1 Ni 2.40, 1 Er 2.54
5 Pr 0.0000 0.0000 0.5000  2 Ni 3.01, 2 Pr 3.22
6 Pr 0.5000 0.5000 0.5000  2 Ni 3.01, 2 Pr 3.22

Computed properties:
The formation energy comes out at 0.077 eV/atom. For the electronic total energy, the calculation gives -4.964 eV/atom. Its symmetry is C2/m (12). The polymorph energy (0 for the lowest one) comes out at 321 meV/atom.

6.
# Pr5Bi2Te

A relaxed structure of Pr5Bi2Te (PBE, Alexandria).

Lattice parameters (Å, degrees): 6.3882 7.3923 14.3773 90.00 90.00 115.60
Closest atoms and distances in Å follow each position.
Sites, in units of the cell vectors:
1 Pr 0.9479 0.8957 0.6132  1 Te 3.16, 2 Bi 3.22-3.27
2 Pr 0.6250 0.2500 0.9321  1 Te 3.20, 3 Bi 3.26-3.30
3 Pr 0.3750 0.7500 0.4321  1 Te 3.20, 3 Bi 3.26-3.30
4 Pr 0.0521 0.1043 0.1132  1 Te 3.16, 2 Bi 3.22-3.27
5 Pr 0.3365 0.6731 0.7500  2 Bi 3.19, 2 Te 3.34
6 Pr 0.6635 0.3269 0.2500  2 Bi 3.19, 2 Te 3.34
7 Pr 0.9479 0.8957 0.8868  1 Te 3.16, 2 Bi 3.22-3.27
8 Pr 0.0521 0.1043 0.3868  1 Te 3.16, 2 Bi 3.22-3.27
9 Pr 0.3750 0.7500 0.0679  1 Te 3.20, 3 Bi 3.26-3.30
10 Pr 0.6250 0.2500 0.5679  1 Te 3.20, 3 Bi 3.26-3.30
11 Bi 0.1864 0.3728 0.5769  6 Pr 3.19-3.30
12 Bi 0.8136 0.6272 0.0769  6 Pr 3.19-3.30
13 Bi 0.8136 0.6272 0.4231  6 Pr 3.19-3.30
14 Bi 0.1864 0.3728 0.9231  6 Pr 3.19-3.30
15 Te 0.7627 0.5253 0.7500  6 Pr 3.16-3.34
16 Te 0.2373 0.4747 0.2500  6 Pr 3.16-3.34

Computed properties:
For the electronic total energy, the calculation gives -4.919 eV/atom. Its symmetry is Cmcm (63). For the formation energy (no corrections), the calculation gives -0.569 eV/atom.

7.
# RbSrHg2Pd

A relaxed structure of RbSrHg2Pd (PBE, Alexandria).

Lattice parameters (Å, degrees): 5.5566 5.5566 5.5364 90.00 90.00 90.00
Closest atoms and distances in Å follow each position.
Sites, in units of the cell vectors:
1 Sr 0.0000 0.0000 0.5000  2 Pd 2.77
2 Hg 0.0000 0.5000 0.0000  2 Pd 2.78
3 Hg 0.5000 0.0000 0.0000  2 Pd 2.78
4 Rb 0.5000 0.5000 0.5000  8 Hg 3.92, 4 Sr 3.93
5 Pd 0.0000 0.0000 0.0000  2 Sr 2.77, 4 Hg 2.78

Computed properties:
The formation energy comes out at -0.265 eV/atom. For the electronic total energy, the calculation gives -1.955 eV/atom. Its symmetry is P4/mmm (123).

8.
# Li2YMg

A relaxed structure of Li2YMg (PBE, Alexandria).

Lattice parameters (Å, degrees): 5.2662 5.2662 3.3447 90.00 90.00 90.08
Closest atoms and distances in Å follow each position.
Sites, in units of the cell vectors:
1 Li 0.0000 0.0000 0.0000  4 Mg 3.12, 4 Y 3.12, 2 Li 3.34
2 Li 0.5000 0.5000 0.0000  4 Y 3.12, 4 Mg 3.12, 2 Li 3.34
3 Mg 0.5000 0.0000 0.5000  8 Li 3.12, 2 Mg 3.34
4 Y 0.0000 0.5000 0.5000  8 Li 3.12, 2 Y 3.34

Computed properties:
The formation energy comes out at 0.110 eV/atom. For the electronic total energy, the calculation gives -2.861 eV/atom. Its symmetry is Cmmm (65).

9.
# Cr3InBr

A relaxed structure of Cr3InBr (PBE, Alexandria).

Lattice parameters (Å, degrees): 4.7559 4.7559 4.7559 90.00 90.00 90.00
Closest atoms and distances in Å follow each position.
Sites, in units of the cell vectors:
1 Br 0.0000 0.0000 0.0000  6 Cr 2.38
2 Cr 0.5000 0.0000 0.0000  2 Br 2.38
3 Cr 0.0000 0.0000 0.5000  2 Br 2.38
4 Cr 0.0000 0.5000 0.0000  2 Br 2.38
5 In 0.5000 0.5000 0.5000  12 Cr 3.36

Computed properties:
For the electronic total energy, the calculation gives -5.582 eV/atom. Its symmetry is Pm-3m (221). For the formation energy (no corrections), the calculation gives 1.075 eV/atom. The polymorph energy (0 for the lowest one) comes out at 0 meV/atom.

10.
# Cd12PbAu6

A relaxed structure of Cd12PbAu6 (PBE, Alexandria).

Lattice parameters (Å, degrees): 7.9939 7.9939 7.9939 105.96 105.96 105.96
Closest atoms and distances in Å follow each position.
Sites, in units of the cell vectors:
1 Au 0.6981 0.2883 0.2883  8 Cd 2.84-3.11
2 Au 0.2883 0.6981 0.2883  8 Cd 2.84-3.11
3 Au 0.7117 0.7117 0.3019  8 Cd 2.84-3.11
4 Au 0.3019 0.7117 0.7117  8 Cd 2.84-3.11
5 Au 0.2883 0.2883 0.6981  8 Cd 2.84-3.11
6 Au 0.7117 0.3019 0.7117  8 Cd 2.84-3.11
7 Cd 0.5000 0.8849 0.1151  4 Au 2.84-2.89, 3 Cd 2.94-3.00
8 Cd 0.8754 0.6229 0.6229  4 Au 2.87-3.11, 2 Cd 3.00
9 Cd 0.1151 0.5000 0.8849  4 Au 2.84-2.89, 3 Cd 2.94-3.00
10 Cd 0.8849 0.1151 0.5000  4 Au 2.84-2.89, 3 Cd 2.94-3.00
11 Cd 0.1246 0.3771 0.3771  4 Au 2.87-3.11, 2 Cd 3.00
12 Cd 0.3771 0.3771 0.1246  4 Au 2.87-3.11, 2 Cd 3.00
13 Cd 0.3771 0.1246 0.3771  4 Au 2.87-3.11, 2 Cd 3.00
14 Cd 0.1151 0.8849 0.5000  4 Au 2.84-2.89, 3 Cd 2.94-3.00
15 Cd 0.6229 0.6229 0.8754  4 Au 2.87-3.11, 2 Cd 3.00
16 Cd 0.6229 0.8754 0.6229  4 Au 2.87-3.11, 2 Cd 3.00
17 Cd 0.5000 0.1151 0.8849  4 Au 2.84-2.89, 3 Cd 2.94-3.00
18 Cd 0.8849 0.5000 0.1151  4 Au 2.84-2.89, 3 Cd 2.94-3.00
19 Pb 0.0000 0.0000 0.0000  6 Cd 3.30

Computed properties:
The formation energy comes out at -0.085 eV/atom. For the electronic total energy, the calculation gives -1.893 eV/atom. Its symmetry is R-3m (166).

11.
# Nb2SiTeS

A relaxed structure of Nb2SiTeS (PBE, Alexandria).

Lattice parameters (Å, degrees): 4.8392 4.8579 4.8392 90.00 90.00 90.00
Closest atoms and distances in Å follow each position.
Sites, in units of the cell vectors:
1 S 0.5000 0.5000 0.5000  4 Te 3.42, 8 Nb 3.43
2 Nb 0.0000 0.0000 0.5000  2 Si 2.42
3 Nb 0.5000 0.0000 0.0000  2 Si 2.42
4 Te 0.0000 0.5000 0.0000  2 Si 2.43
5 Si 0.0000 0.0000 0.0000  4 Nb 2.42, 2 Te 2.43

Computed properties:
For the electronic total energy, the calculation gives -5.557 eV/atom. Its symmetry is P4/mmm (123). For the formation energy (no corrections), the calculation gives 1.009 eV/atom.

12.
# Sr2P2Au

A relaxed structure of Sr2P2Au (PBE, Alexandria).

Lattice parameters (Å, degrees): 4.3283 6.1268 10.4885 75.99 78.09 69.31
Closest atoms and distances in Å follow each position.
Sites, in units of the cell vectors:
1 P 0.0460 0.3314 0.5769  1 P 2.26, 2 Au 2.50
2 P 0.3388 0.1829 0.1396  1 Au 2.51
3 P 0.6612 0.8171 0.8604  1 Au 2.51
4 P 0.9540 0.6686 0.4231  1 P 2.26, 2 Au 2.50
5 Sr 0.2972 0.7553 0.6502  7 P 3.12-3.44, 4 Au 3.26-3.34
6 Sr 0.7028 0.2447 0.3498  7 P 3.12-3.44, 4 Au 3.26-3.34
7 Sr 0.0903 0.7266 0.0926  4 P 3.06-3.35, 2 Au 3.30, 1 Sr 3.35
8 Sr 0.9097 0.2734 0.9074  4 P 3.06-3.35, 2 Au 3.30, 1 Sr 3.35
9 Au 0.4295 0.8212 0.3196  3 P 2.50-2.51
10 Au 0.5705 0.1788 0.6804  3 P 2.50-2.51

Computed properties:
The formation energy comes out at -0.896 eV/atom. For the electronic total energy, the calculation gives -4.388 eV/atom. Its symmetry is C2/m (12). The polymorph energy (0 for the lowest one) comes out at 0 meV/atom.